Run P
DFT (PBE) results for a relaxed Sr5Co crystal.

DOS(E_F) = 1.563 states/eV/atom
calculated volume = 270.26 Å³/cell

Unit cell a=9.9355 b=9.9355 c=6.4115 alpha=90.00 beta=90.00 gamma=154.72
Last column: nearest neighbours and their distance in Å.
Element x y z (fractional)
Sr 0.3326 0.6674 0.5000  8 Sr 3.87-4.00
Sr 0.1158 0.8842 0.0000  2 Co 3.13
Sr 0.0000 0.0000 0.5000  4 Co 3.87, 8 Sr 3.91
Sr 0.8842 0.1158 0.0000  2 Co 3.13
Sr 0.6674 0.3326 0.5000  8 Sr 3.87-4.00
Co 0.5000 0.5000 0.0000  4 Sr 3.13



Run Q
DFT (PBE) results for a relaxed Sr5Co crystal.

DOS(E_F) = 1.761 states/eV/atom
calculated volume = 259.23 Å³/cell

Unit cell a=6.9830 b=6.9830 c=6.1386 alpha=90.00 beta=90.00 gamma=120.00
Last column: nearest neighbours and their distance in Å.
Element x y z (fractional)
Sr 0.6962 0.0000 0.0000  6 Sr 3.67-3.92, 2 Co 3.73
Sr 0.3038 0.3038 0.0000  6 Sr 3.67-3.92, 2 Co 3.73
Sr 0.0000 0.6962 0.0000  6 Sr 3.67-3.92, 2 Co 3.73
Sr 0.6667 0.3333 0.5000  9 Sr 3.92-4.03, 3 Co 4.03
Sr 0.3333 0.6667 0.5000  9 Sr 3.92-4.03, 3 Co 4.03
Co 0.0000 0.0000 0.5000  12 Sr 3.73-4.03



Run R
DFT (PBE) results for a relaxed Sr5Co crystal.

DOS(E_F) = 1.083 states/eV/atom
calculated volume = 306.70 Å³/cell

Unit cell a=7.5696 b=7.5696 c=7.5696 alpha=60.00 beta=60.00 gamma=60.00
Last column: nearest neighbours and their distance in Å.
Element x y z (fractional)
Sr 0.2500 0.2500 0.2500  12 Sr 4.44, 4 Co 4.64
Sr 0.6253 0.6253 0.6253  6 Sr 3.77-3.80
Sr 0.6253 0.6253 0.1240  6 Sr 3.77-3.80
Sr 0.1240 0.6253 0.6253  6 Sr 3.77-3.80
Sr 0.6253 0.1240 0.6253  6 Sr 3.77-3.80
Co 0.0000 0.0000 0.0000  16 Sr 4.44-4.64



What should be chosen as the least stable of them? Choose run R.